[1]
A relaxed LaMg3As crystal, computed with GGA-PBE.

Cell: 5.189 5.189 5.189 Å, 90.00 90.00 90.00°
Atoms (fractional coordinates):
1 La 0.000 0.000 0.000
2 Mg 0.000 0.500 0.500
3 Mg 0.500 0.000 0.500
4 Mg 0.500 0.500 0.000
5 As 0.500 0.500 0.500

Output
Total moment, Bohr magnetons per cell: 0.00
E, eV per atom: -2.882
Energy of formation, eV per atom: -0.010

=====

[2]
A relaxed La2MgAsN crystal, computed with GGA-PBE.

Cell: 5.125 5.125 4.206 Å, 90.00 90.00 90.00°
Atoms (fractional coordinates):
1 La 0.000 0.500 0.000
2 La 0.500 0.000 0.000
3 Mg 0.000 0.000 0.500
4 As 0.500 0.500 0.500
5 N 0.000 0.000 0.000

Output
Total moment, Bohr magnetons per cell: 0.00
E, eV per atom: -5.863
E_form (uncorrected), eV per atom: -0.978

=====

[3]
A relaxed LaMgNi2As2 crystal, computed with GGA-PBE.

Cell: 4.161 4.161 7.039 Å, 90.00 90.00 120.00°
Atoms (fractional coordinates):
1 La 0.000 0.000 0.000
2 Mg 0.000 0.000 0.500
3 Ni 0.333 0.667 0.667
4 Ni 0.667 0.333 0.333
5 As 0.333 0.667 0.279
6 As 0.667 0.333 0.721

Output
Total moment, Bohr magnetons per cell: 0.00
E, eV per atom: -5.358
Energy of formation, eV per atom: -0.794